1.
# La2ScRu (PBEsol, relaxed)
# V = 23.906 A^3/atom
# Crystal system = tetragonal
# Energy relative to the elements = 133 meV per atom
# E above lowest polymorph = 0.000 eV per atom
data_La2ScRu
_space_group_name_H-M_alt 'P 4/m m m'
_space_group_IT_number 123
_space_group_name_Hall '-P 4 2'
_cell_length_a 5.0927
_cell_length_b 5.0927
_cell_length_c 3.6869
_cell_angle_alpha 90.00
_cell_angle_beta 90.00
_cell_angle_gamma 90.00
loop_
_atom_site_label
_atom_site_fract_x
_atom_site_fract_y
_atom_site_fract_z
_atom_site_occupancy
La1 0.0000 0.5000 0.0000 1
Sc1 0.0000 0.0000 0.5000 1
Ru1 0.5000 0.5000 0.5000 1


2.
# MgAsOsBr2 (PBEsol, relaxed)
# Uncorrected formation energy = 110.2 kJ/mol of atoms
# V = 25.154 A^3/atom
# Crystal system = tetragonal
data_MgAsOsBr2
_space_group_name_H-M_alt 'P 4/m m m'
_space_group_IT_number 123
_space_group_name_Hall '-P 4 2'
_cell_length_a 4.8051
_cell_length_b 4.8051
_cell_length_c 5.4470
_cell_angle_alpha 90.00
_cell_angle_beta 90.00
_cell_angle_gamma 90.00
loop_
_atom_site_label
_atom_site_fract_x
_atom_site_fract_y
_atom_site_fract_z
_atom_site_occupancy
Mg1 0.0000 0.0000 0.0000 1
As1 0.0000 0.0000 0.5000 1
Os1 0.5000 0.5000 0.5000 1
Br1 0.0000 0.5000 0.0000 1


3.
# Tb2MoO6 (PBEsol, relaxed)
# Uncorrected formation energy = -289.7 kJ/mol of atoms
# V = 12.599 A^3/atom
# Crystal system = monoclinic
data_Tb2MoO6
_space_group_name_H-M_alt 'C 1 2/c 1'
_space_group_IT_number 15
_space_group_name_Hall '-C 2yc'
_cell_length_a 16.2637
_cell_length_b 10.9938
_cell_length_c 5.3349
_cell_angle_alpha 90.00
_cell_angle_beta 108.01
_cell_angle_gamma 90.00
loop_
_atom_site_label
_atom_site_fract_x
_atom_site_fract_y
_atom_site_fract_z
_atom_site_occupancy
Tb1 0.0000 0.1082 0.2500 1
Tb2 0.0000 0.3654 0.7500 1
Tb3 0.1690 0.1167 0.8802 1
Mo1 0.1541 0.3573 0.4370 1
O1 0.0737 0.2364 0.5827 1
O2 0.0800 0.4681 0.4841 1
O3 0.0915 0.0168 0.0788 1
O4 0.1050 0.2786 0.1283 1
O5 0.2293 0.2961 0.7388 1
O6 0.2349 0.4478 0.3600 1


4.
# SiOs2Pt (PBEsol, relaxed)
# Uncorrected formation energy = -2.5 kJ/mol of atoms
# V = 13.773 A^3/atom
# Crystal system = trigonal
data_SiOs2Pt
_space_group_name_H-M_alt 'R -3 m'
_space_group_IT_number 166
_space_group_name_Hall '-R 3 2"'
_cell_length_a 2.7640
_cell_length_b 2.7640
_cell_length_c 24.9797
_cell_angle_alpha 90.00
_cell_angle_beta 90.00
_cell_angle_gamma 120.00
loop_
_atom_site_label
_atom_site_fract_x
_atom_site_fract_y
_atom_site_fract_z
_atom_site_occupancy
Si1 0.0000 0.0000 0.0000 1
Os1 0.0000 0.0000 0.2571 1
Pt1 0.0000 0.0000 0.5000 1


5.
# ScCoSe2 (PBEsol, relaxed)
# Uncorrected formation energy = -57.0 kJ/mol of atoms
# V = 16.436 A^3/atom
# Crystal system = cubic
# E above lowest polymorph = 0.269 eV per atom
data_ScCoSe2
_space_group_name_H-M_alt 'F m -3 m'
_space_group_IT_number 225
_space_group_name_Hall '-F 4 2 3'
_cell_length_a 6.4068
_cell_length_b 6.4068
_cell_length_c 6.4068
_cell_angle_alpha 90.00
_cell_angle_beta 90.00
_cell_angle_gamma 90.00
loop_
_atom_site_label
_atom_site_fract_x
_atom_site_fract_y
_atom_site_fract_z
_atom_site_occupancy
Sc1 0.0000 0.0000 0.0000 1
Co1 0.0000 0.0000 0.5000 1
Se1 0.2500 0.2500 0.2500 1


6.
# Rb3MgTa (PBEsol, relaxed)
# V = 64.642 A^3/atom
# Crystal system = cubic
# Energy relative to the elements = 1512 meV per atom
data_Rb3MgTa
_space_group_name_H-M_alt 'P m -3 m'
_space_group_IT_number 221
_space_group_name_Hall '-P 4 2 3'
_cell_length_a 6.8627
_cell_length_b 6.8627
_cell_length_c 6.8627
_cell_angle_alpha 90.00
_cell_angle_beta 90.00
_cell_angle_gamma 90.00
loop_
_atom_site_label
_atom_site_fract_x
_atom_site_fract_y
_atom_site_fract_z
_atom_site_occupancy
Rb1 0.0000 0.0000 0.5000 1
Mg1 0.5000 0.5000 0.5000 1
Ta1 0.0000 0.0000 0.0000 1


7.
# MnAg2Au (PBEsol, relaxed)
# V = 16.241 A^3/atom
# Crystal system = monoclinic
# Energy relative to the elements = 193 meV per atom
data_MnAg2Au
_space_group_name_H-M_alt 'C 1 2/m 1'
_space_group_IT_number 12
_space_group_name_Hall '-C 2y'
_cell_length_a 5.4985
_cell_length_b 9.5657
_cell_length_c 2.8011
_cell_angle_alpha 90.00
_cell_angle_beta 118.13
_cell_angle_gamma 90.00
loop_
_atom_site_label
_atom_site_fract_x
_atom_site_fract_y
_atom_site_fract_z
_atom_site_occupancy
Mn1 0.0000 0.0000 0.0000 1
Ag1 0.2500 0.2500 0.5000 1
Au1 0.0000 0.5000 0.0000 1


8.
# Ca2MnOs (PBEsol, relaxed)
# V = 21.069 A^3/atom
# Crystal system = tetragonal
# Energy relative to the elements = 362 meV per atom
# E above lowest polymorph = 0.000 eV per atom
data_Ca2MnOs
_space_group_name_H-M_alt 'P 4 m m'
_space_group_IT_number 99
_space_group_name_Hall 'P 4 -2'
_cell_length_a 3.0889
_cell_length_b 3.0889
_cell_length_c 8.8326
_cell_angle_alpha 90.00
_cell_angle_beta 90.00
_cell_angle_gamma 90.00
loop_
_atom_site_label
_atom_site_fract_x
_atom_site_fract_y
_atom_site_fract_z
_atom_site_occupancy
Ca1 0.0000 0.0000 0.0000 1
Ca2 0.5000 0.5000 0.3931 1
Mn1 0.0000 0.0000 0.6358 1
Os1 0.5000 0.5000 0.7546 1


9.
# BeTc4Mo (PBEsol, relaxed)
# V = 14.540 A^3/atom
# Crystal system = cubic
# Energy relative to the elements = 389 meV per atom
data_BeTc4Mo
_space_group_name_H-M_alt 'F -4 3 m'
_space_group_IT_number 216
_space_group_name_Hall 'F -4 2 3'
_cell_length_a 7.0404
_cell_length_b 7.0404
_cell_length_c 7.0404
_cell_angle_alpha 90.00
_cell_angle_beta 90.00
_cell_angle_gamma 90.00
loop_
_atom_site_label
_atom_site_fract_x
_atom_site_fract_y
_atom_site_fract_z
_atom_site_occupancy
Be1 0.0000 0.0000 0.0000 1
Tc1 0.1259 0.1259 0.3741 1
Mo1 0.2500 0.2500 0.7500 1


10.
# CrIrOs2 (PBEsol, relaxed)
# V = 13.458 A^3/atom
# Crystal system = orthorhombic
# Energy relative to the elements = 54 meV per atom
# E above lowest polymorph = 0.032 eV per atom
data_CrIrOs2
_space_group_name_H-M_alt 'C m m m'
_space_group_IT_number 65
_space_group_name_Hall '-C 2 2'
_cell_length_a 5.3411
_cell_length_b 7.5335
_cell_length_c 2.6757
_cell_angle_alpha 90.00
_cell_angle_beta 90.00
_cell_angle_gamma 90.00
loop_
_atom_site_label
_atom_site_fract_x
_atom_site_fract_y
_atom_site_fract_z
_atom_site_occupancy
Cr1 0.0000 0.0000 0.0000 1
Ir1 0.0000 0.5000 0.0000 1
Os1 0.2500 0.2500 0.5000 1


11.
# CdInOsS2 (PBEsol, relaxed)
# Uncorrected formation energy = 163.4 kJ/mol of atoms
# V = 25.759 A^3/atom
# Crystal system = tetragonal
data_CdInOsS2
_space_group_name_H-M_alt 'P 4/m m m'
_space_group_IT_number 123
_space_group_name_Hall '-P 4 2'
_cell_length_a 4.8543
_cell_length_b 4.8543
_cell_length_c 5.4656
_cell_angle_alpha 90.00
_cell_angle_beta 90.00
_cell_angle_gamma 90.00
loop_
_atom_site_label
_atom_site_fract_x
_atom_site_fract_y
_atom_site_fract_z
_atom_site_occupancy
Cd1 0.0000 0.0000 0.0000 1
In1 0.0000 0.0000 0.5000 1
Os1 0.5000 0.5000 0.0000 1
S1 0.0000 0.5000 0.5000 1


12.
# NaAlBP2H3O10 (PBEsol, relaxed)
# Total energy = -501.089 eV per cell
# V = 9.264 A^3/atom
# Crystal system = monoclinic
data_NaAlBP2H3O10
_space_group_name_H-M_alt 'C 1 2/c 1'
_space_group_IT_number 15
_space_group_name_Hall '-C 2yc'
_cell_length_a 10.3892
_cell_length_b 7.9747
_cell_length_c 9.0183
_cell_angle_alpha 90.00
_cell_angle_beta 116.78
_cell_angle_gamma 90.00
loop_
_atom_site_label
_atom_site_fract_x
_atom_site_fract_y
_atom_site_fract_z
_atom_site_occupancy
Na1 0.0000 0.1351 0.2500 1
Al1 0.2500 0.2500 0.0000 1
B1 0.0000 0.4665 0.7500 1
P1 0.2242 0.0660 0.6814 1
H1 0.0066 0.3134 0.5682 1
H2 0.2500 0.2500 0.5000 1
O1 0.0664 0.3637 0.9023 1
O2 0.1080 0.4206 0.2434 1
O3 0.1616 0.2038 0.5448 1
O4 0.1759 0.1099 0.1093 1
O5 0.1777 0.0969 0.8170 1


- Among the records above, which one has the lowest V?
  NaAlBP2H3O10


- Which of these has the lowest V?
  NaAlBP2H3O10